Below is an optimized crystal structure of Nd8In2Hg, with properties calculated at the PBE level.

```
11
Lattice="9.6821 -2.6910 0.0000 9.6821 2.6910 0.0000 -1.7244 0.0000 6.8216" Properties=species:S:1:pos:R:3 pbc="T T T"
Nd -0.1770 0.0000 1.8051
Nd 2.6163 0.0000 5.4489
Nd 5.7193 0.0000 3.5960
Nd 7.8107 0.0000 0.2180
Nd 9.8292 0.0000 6.6036
Nd 11.9205 0.0000 3.2256
Nd 15.0235 0.0000 1.3727
Nd 17.8169 0.0000 5.0165
In 3.1181 0.0000 1.6280
In 14.5218 0.0000 5.1936
Hg 8.8199 0.0000 3.4108
```

Results
* theoretical density: 7.4 g cm⁻³
* energy relative to the elements: -0.23 eV/atom
* spin magnetization: 0.00 μB per formula unit
* energy relative to the lowest polymorph listed for this composition: 0.00 eV/f.u.
* N(E_F): 12.13 states/eV/cell
* E_tot: -46.43 eV for the cell shown
* space-group type: C2/m (12)



Below is an optimized crystal structure of Tb4PmSm2Ho2, with properties calculated at the PBE level.

```
9
Lattice="8.6211 -1.7816 0.0000 8.6211 1.7816 0.0000 -1.8303 0.0000 9.5497" Properties=species:S:1:pos:R:3 pbc="T T T"
Tb -0.3397 0.0000 3.1128
Tb 4.1925 0.0000 7.3003
Tb 11.2194 0.0000 2.2494
Tb 15.7516 0.0000 6.4369
Pm 8.6211 0.0000 0.0000
Sm 5.1938 0.0000 3.9412
Sm 10.2181 0.0000 5.6085
Ho 1.1556 0.0000 8.7868
Ho 14.2563 0.0000 0.7630
```

Results
* theoretical density: 8.0 g cm⁻³
* energy relative to the elements: 0.02 eV/atom
* spin magnetization: 0.00 μB per formula unit
* N(E_F): 11.96 states/eV/cell
* E_tot: -41.65 eV for the cell shown
* space-group type: C2/m (12)



Below is an optimized crystal structure of InAgP, with properties calculated at the PBE level.

```
3
Lattice="4.0768 0.0000 0.0000 -2.0384 3.5306 0.0000 0.0000 0.0000 4.4309" Properties=species:S:1:pos:R:3 pbc="T T T"
In 0.0000 0.0000 0.0000
Ag 0.0000 2.3537 2.5791
P 2.0384 1.1769 1.3570
```

Results
* theoretical density: 6.6 g cm⁻³
* energy relative to the elements: 0.18 eV/atom
* spin magnetization: 0.00 μB per formula unit
* energy relative to the lowest polymorph listed for this composition: 0.00 eV/f.u.
* N(E_F): 1.92 states/eV/cell
* E_tot: -10.45 eV for the cell shown
* space-group type: P3m1 (156)



Below is an optimized crystal structure of Pr2ErScSe6, with properties calculated at the PBE level.

```
20
Lattice="6.8805 0.0000 0.0000 0.0000 7.6227 0.0000 -6.7508 0.0000 10.2393" Properties=species:S:1:pos:R:3 pbc="T T T"
Pr -0.2631 0.7985 2.5386
Pr -3.6385 3.0129 7.6583
Pr 3.7683 4.6098 2.5810
Pr 0.3929 6.8242 7.7007
Er 3.4403 0.0000 0.0000
Er 0.0649 3.8114 5.1197
Sc -3.3754 0.0000 5.1197
Sc 0.0000 3.8114 0.0000
Se -5.6081 1.4337 9.5482
Se -2.2327 2.3776 4.4285
Se -4.5460 5.1801 9.5524
Se -1.1706 6.2540 4.4327
Se -2.3786 0.3162 7.6137
Se 0.9967 3.4952 2.4940
Se -0.8670 4.1275 7.7453
Se 2.5084 7.3066 2.6257
Se 1.3004 1.3688 5.8067
Se 4.6757 2.4426 0.6870
Se 2.3625 5.2451 5.8108
Se 5.7379 6.1890 0.6912
```

Results
* theoretical density: 6.0 g cm⁻³
* spin magnetization: 0.00 μB per formula unit
* N(E_F): 0.00 states/eV/cell
* formation energy (no corrections): -1.8421 eV/atom
* E_tot: -119.56 eV for the cell shown
* space-group type: P2_1/c (14)